Entry 1:
The following is a PBE-GGA calculation of Ho3InRh4 after structural relaxation, from the Alexandria database.

abc: 4.7167 4.7167 6.8191
angles: 90.00 90.00 90.00
Positions (direct):
Ho: 0.0000 0.0000 0.0000
Ho: 0.0000 0.0000 0.5000
Ho: 0.5000 0.5000 0.0000
In: 0.5000 0.5000 0.5000
Rh: 0.0000 0.5000 0.2508
Rh: 0.0000 0.5000 0.7492
Rh: 0.5000 0.0000 0.2508
Rh: 0.5000 0.0000 0.7492

Values from the calculation:
Crystal system: tetragonal

***

Entry 2:
The following is a PBE-GGA calculation of Ho2InRh after structural relaxation, from the Alexandria database.

abc: 5.0734 5.0734 5.0734
angles: 60.00 60.00 60.00
Positions (direct):
Ho: 0.2500 0.2500 0.2500
Ho: 0.7500 0.7500 0.7500
In: 0.0000 0.0000 0.0000
Rh: 0.5000 0.5000 0.5000

Values from the calculation:
Crystal system: cubic

***

Entry 3:
The following is a PBE-GGA calculation of HoIn2Rh2 after structural relaxation, from the Alexandria database.

abc: 5.2804 4.6310 8.8967
angles: 90.00 106.92 90.00
Positions (direct):
Ho: 0.1890 0.2500 0.2671
Ho: 0.8111 0.7500 0.7329
In: 0.2400 0.2500 0.6339
In: 0.3551 0.7500 0.0304
In: 0.6449 0.2500 0.9696
In: 0.7600 0.7500 0.3661
Rh: 0.1060 0.2500 0.9086
Rh: 0.3087 0.7500 0.4689
Rh: 0.6913 0.2500 0.5311
Rh: 0.8940 0.7500 0.0914

Values from the calculation:
Crystal system: monoclinic

***

Entry 4:
The following is a PBE-GGA calculation of HoIn4Rh5 after structural relaxation, from the Alexandria database.

abc: 3.3095 3.3095 15.9728
angles: 90.00 90.00 90.00
Positions (direct):
Ho: 0.0000 0.0000 0.0000
In: 0.0000 0.0000 0.2044
In: 0.0000 0.0000 0.4014
In: 0.0000 0.0000 0.5986
In: 0.0000 0.0000 0.7956
Rh: 0.5000 0.5000 0.1071
Rh: 0.5000 0.5000 0.3034
Rh: 0.5000 0.5000 0.5000
Rh: 0.5000 0.5000 0.6966
Rh: 0.5000 0.5000 0.8929

Values from the calculation:
Crystal system: tetragonal

***

Entry 5:
The following is a PBE-GGA calculation of Ho4InRh5 after structural relaxation, from the Alexandria database.

abc: 3.4152 3.4152 16.4767
angles: 90.00 90.00 90.00
Positions (direct):
Ho: 0.0000 0.0000 0.1023
Ho: 0.0000 0.0000 0.3070
Ho: 0.0000 0.0000 0.6930
Ho: 0.0000 0.0000 0.8977
In: 0.0000 0.0000 0.5000
Rh: 0.5000 0.5000 0.0000
Rh: 0.5000 0.5000 0.2039
Rh: 0.5000 0.5000 0.4079
Rh: 0.5000 0.5000 0.5921
Rh: 0.5000 0.5000 0.7961

Values from the calculation:
Crystal system: tetragonal

***

Entry 6:
The following is a PBE-GGA calculation of Ho6In2Rh after structural relaxation, from the Alexandria database.

abc: 8.6282 8.6282 8.6282
angles: 145.90 130.51 61.47
Positions (direct):
Ho: 0.0846 0.3451 0.7394
Ho: 0.2270 0.0000 0.2270
Ho: 0.3943 0.6549 0.7394
Ho: 0.6057 0.3451 0.2606
Ho: 0.7730 0.0000 0.7730
Ho: 0.9154 0.6549 0.2606
In: 0.3328 0.8328 0.5000
In: 0.6672 0.1672 0.5000
Rh: 0.0000 0.5000 0.5000

Values from the calculation:
Crystal system: orthorhombic

***

The records above yield formation energy values of -0.83; -0.58; -0.55; -0.53; -0.82; -0.26 eV per atom, respectively.